Entry 1:
Below is an optimized crystal structure of PuPaRh3, with properties calculated at the PBE level.

Unit cell a=5.1310 b=5.4868 c=6.9578 alpha=90.00 beta=93.73 gamma=90.00
Atoms (fractional coordinates):
Pu 0.0634 0.2500 0.1353
Pu 0.9366 0.7500 0.8647
Pa 0.2670 0.2500 0.6329
Pa 0.7330 0.7500 0.3671
Rh 0.1963 0.7500 0.2810
Rh 0.3794 0.7500 0.6555
Rh 0.5000 0.0000 0.0000
Rh 0.5000 0.5000 0.0000
Rh 0.6206 0.2500 0.3445
Rh 0.8037 0.2500 0.7190

Computed properties:
As for the space group: P2_1/m, No. 11. For the energy of formation from the pure elements, the calculation gives -0.626 eV/atom. Its energy above the most stable polymorph in this dataset is 0 meV/atom. The calculation puts the density of states at the Fermi level at 2.513 states/eV/atom.



Entry 2:
Below is an optimized crystal structure of CdNiSe, with properties calculated at the PBE level.

Unit cell a=6.3964 b=6.3964 c=6.3964 alpha=152.29 beta=152.29 gamma=39.59
Atoms (fractional coordinates):
Cd 0.0000 0.0000 0.0000
Ni 0.3370 0.3370 0.0000
Se 0.7425 0.7425 0.0000

Computed properties:
As for the space group: I4mm, No. 107. Its energy above the most stable polymorph in this dataset is 90 meV/atom. The calculation puts the density of states at the Fermi level at 0.542 states/eV/atom. The calculation puts the formation energy (no corrections) at 1 kJ per mole of atoms.



What did the first record say?
Below is an optimized crystal structure of PuPaRh3, with properties calculated at the PBE level.

Unit cell a=5.1310 b=5.4868 c=6.9578 alpha=90.00 beta=93.73 gamma=90.00
Atoms (fractional coordinates):
Pu 0.0634 0.2500 0.1353
Pu 0.9366 0.7500 0.8647
Pa 0.2670 0.2500 0.6329
Pa 0.7330 0.7500 0.3671
Rh 0.1963 0.7500 0.2810
Rh 0.3794 0.7500 0.6555
Rh 0.5000 0.0000 0.0000
Rh 0.5000 0.5000 0.0000
Rh 0.6206 0.2500 0.3445
Rh 0.8037 0.2500 0.7190

Computed properties:
As for the space group: P2_1/m, No. 11. For the energy of formation from the pure elements, the calculation gives -0.626 eV/atom. Its energy above the most stable polymorph in this dataset is 0 meV/atom. The calculation puts the density of states at the Fermi level at 2.513 states/eV/atom.